A plane-wave DFT calculation with GGA+U was carried out for a relaxed structure of Mn4Be3Si3SeO12.

Summary:
The density of states at the Fermi level comes out at 0.00 states/eV/cell. The space group is No. 218. For the raw total energy, the calculation gives -349.64 eV for the cell shown.

extended XYZ file:
```
46
Lattice="8.442 0.000 0.000 0.000 8.442 0.000 0.000 0.000 8.442" Properties=species:S:1:pos:R:3 pbc="T T T"
O 5.427 3.015 0.660
O 3.561 7.236 7.236
Be 0.000 6.332 4.221
O 7.236 3.561 7.236
O 3.561 1.206 1.206
Mn 6.941 1.501 6.941
Mn 5.722 2.720 2.720
O 1.206 7.236 4.881
O 7.782 3.015 3.015
Mn 5.722 5.722 5.722
O 4.881 7.236 1.206
O 3.015 0.660 5.427
O 5.427 0.660 3.015
O 0.660 5.427 3.015
O 1.206 4.881 7.236
Si 6.332 0.000 4.221
Mn 1.501 1.501 1.501
O 3.015 3.015 7.782
O 1.206 3.561 1.206
Se 0.000 0.000 0.000
O 5.427 7.782 5.427
O 7.236 4.881 1.206
O 3.015 7.782 3.015
Mn 1.501 6.941 6.941
O 3.015 5.427 0.660
O 5.427 5.427 7.782
O 4.881 1.206 7.236
Be 2.111 4.221 0.000
Mn 6.941 6.941 1.501
Be 4.221 0.000 2.111
Si 4.221 6.332 0.000
Be 6.332 4.221 0.000
Si 0.000 4.221 6.332
Be 4.221 0.000 6.332
Mn 2.720 2.720 5.722
Si 4.221 2.111 0.000
O 7.236 1.206 4.881
Si 0.000 4.221 2.111
O 7.782 5.427 5.427
Se 4.221 4.221 4.221
Mn 2.720 5.722 2.720
O 1.206 1.206 3.561
O 7.236 7.236 3.561
Si 2.111 0.000 4.221
Be 0.000 2.111 4.221
O 0.660 3.015 5.427
```